Record 1
A plane-wave DFT calculation with GGA-PBE was carried out for an optimized crystal structure of In5C3.

Lattice parameters (Å, degrees): 3.3961 3.3961 13.7909 90.00 90.00 90.00
Fractional coordinates of all 8 atoms:
In: 0.0000 0.0000 0.0000
In: 0.0000 0.0000 0.2332
In: 0.0000 0.0000 0.7668
In: 0.5000 0.5000 0.3983
In: 0.5000 0.5000 0.6017
C: 0.0000 0.0000 0.5000
C: 0.5000 0.5000 0.0480
C: 0.5000 0.5000 0.9520

Calculated values
- Energy relative to the lowest polymorph listed for this composition: 0 meV per atom
- Calculated volume: 159.1 Å³/f.u.
- N(E_F): 0.444 states/eV per atom
- Spin magnetization: 0.00 Bohr magnetons per cell
- Calculated formation energy: 1.195 eV/atom

---

Record 2
A plane-wave DFT calculation with GGA-PBE was carried out for an optimized crystal structure of Ba2NdPbO5.

Lattice parameters (Å, degrees): 7.9652 7.9652 11.7147 90.00 90.00 152.75
Fractional coordinates of all 18 atoms:
Ba: 0.1176 0.8824 0.5000
Ba: 0.1353 0.8647 0.0730
Ba: 0.8647 0.1353 0.5730
Ba: 0.8824 0.1176 0.0000
Nd: 0.2216 0.7784 0.7973
Nd: 0.7784 0.2216 0.2973
Pb: 0.4852 0.5148 0.2679
Pb: 0.5148 0.4852 0.7679
O: 0.0628 0.9372 0.8472
O: 0.2804 0.7196 0.4326
O: 0.2990 0.7010 0.1682
O: 0.3712 0.6288 0.8029
O: 0.4971 0.5029 0.5821
O: 0.5029 0.4971 0.0821
O: 0.6288 0.3712 0.3029
O: 0.7010 0.2990 0.6682
O: 0.7196 0.2804 0.9326
O: 0.9372 0.0628 0.3472

Calculated values
- ΔE_f (raw): -2.2933 eV per atom
- Calculated volume: 170.2 Å³/f.u.
- N(E_F): 0.138 states/eV per atom
- Spin magnetization: 0.00 Bohr magnetons per cell

---

Record 3
A plane-wave DFT calculation with GGA-PBE was carried out for an optimized crystal structure of Li2MnTe.

Lattice parameters (Å, degrees): 9.3479 9.3479 9.3479 20.01 20.01 20.01
Fractional coordinates of all 4 atoms:
Li: 0.2476 0.2476 0.2476
Li: 0.7524 0.7524 0.7524
Mn: 0.0000 0.0000 0.0000
Te: 0.5000 0.5000 0.5000

Calculated values
- ΔE_f (raw): 0.1380 eV per atom
- Calculated volume: 83.7 Å³/f.u.
- N(E_F): 0.622 states/eV per atom
- Spin magnetization: 4.22 Bohr magnetons per cell

---

Record 4
A plane-wave DFT calculation with GGA-PBE was carried out for an optimized crystal structure of TiV2W4.

Lattice parameters (Å, degrees): 11.1212 11.1212 3.1118 90.00 90.00 163.41
Fractional coordinates of all 7 atoms:
Ti: 0.0000 0.0000 0.0000
V: 0.2900 0.7100 0.5000
V: 0.7100 0.2900 0.5000
W: 0.1461 0.8539 0.0000
W: 0.4257 0.5743 0.5000
W: 0.5743 0.4257 0.5000
W: 0.8539 0.1461 0.0000

Calculated values
- Energy relative to the lowest polymorph listed for this composition: 0 meV per atom
- Calculated volume: 109.9 Å³/f.u.
- N(E_F): 1.150 states/eV per atom
- Spin magnetization: 0.00 Bohr magnetons per cell
- Calculated formation energy: 0.174 eV/atom

---

Record 5
A plane-wave DFT calculation with GGA-PBE was carried out for an optimized crystal structure of TbPmAl.

Lattice parameters (Å, degrees): 7.2994 7.2994 7.2994 152.38 152.38 39.45
Fractional coordinates of all 3 atoms:
Tb: 0.0000 0.0000 0.0000
Pm: 0.7058 0.7058 0.0000
Al: 0.3569 0.3569 0.0000

Calculated values
- Energy relative to the lowest polymorph listed for this composition: 0 meV per atom
- Calculated volume: 83.4 Å³/f.u.
- N(E_F): 0.719 states/eV per atom
- Spin magnetization: 0.00 Bohr magnetons per cell
- Calculated formation energy: -0.226 eV/atom

---

Record 6
A plane-wave DFT calculation with GGA-PBE was carried out for an optimized crystal structure of Nd2Sm3Y6Tm.

Lattice parameters (Å, degrees): 6.2314 6.2314 11.8805 95.00 95.00 119.97
Fractional coordinates of all 12 atoms:
Nd: 0.1664 0.8336 0.0000
Nd: 0.8336 0.1664 0.0000
Sm: 0.0000 0.0000 0.5000
Sm: 0.3333 0.6667 0.5000
Sm: 0.6667 0.3333 0.5000
Y: 0.0843 0.4169 0.7503
Y: 0.2508 0.2508 0.2501
Y: 0.4169 0.0843 0.7503
Y: 0.5831 0.9157 0.2497
Y: 0.7492 0.7492 0.7499
Y: 0.9157 0.5831 0.2497
Tm: 0.5000 0.5000 0.0000

Calculated values
- Calculated volume: 393.5 Å³/f.u.
- N(E_F): 1.302 states/eV per atom
- Spin magnetization: 0.00 Bohr magnetons per cell
- Calculated formation energy: 0.014 eV/atom

---

Record 7
A plane-wave DFT calculation with GGA-PBE was carried out for an optimized crystal structure of Li2YCoCu.

Lattice parameters (Å, degrees): 4.5459 4.5459 4.9385 90.00 90.00 90.00
Fractional coordinates of all 5 atoms:
Li: 0.0000 0.5000 0.0000
Li: 0.5000 0.0000 0.0000
Y: 0.0000 0.0000 0.5000
Co: 0.0000 0.0000 0.0000
Cu: 0.5000 0.5000 0.5000

Calculated values
- Calculated volume: 102.1 Å³/f.u.
- N(E_F): 0.855 states/eV per atom
- Spin magnetization: 0.00 Bohr magnetons per cell
- Calculated formation energy: 0.496 eV/atom

---

Record 8
A plane-wave DFT calculation with GGA-PBE was carried out for an optimized crystal structure of YBeAg.

Lattice parameters (Å, degrees): 4.6955 4.6955 4.6955 60.00 60.00 60.00
Fractional coordinates of all 3 atoms:
Y: 0.0000 0.0000 0.0000
Be: 0.7500 0.7500 0.7500
Ag: 0.2500 0.2500 0.2500

Calculated values
- Energy relative to the lowest polymorph listed for this composition: 775 meV per atom
- Calculated volume: 73.2 Å³/f.u.
- N(E_F): 0.835 states/eV per atom
- Spin magnetization: 0.00 Bohr magnetons per cell
- Calculated formation energy: 0.653 eV/atom

---

Record 9
A plane-wave DFT calculation with GGA-PBE was carried out for an optimized crystal structure of Nd4HoMg2.

Lattice parameters (Å, degrees): 9.5444 9.5444 9.5444 34.36 34.36 34.36
Fractional coordinates of all 7 atoms:
Nd: 0.1304 0.1304 0.1304
Nd: 0.2577 0.2577 0.2577
Nd: 0.7423 0.7423 0.7423
Nd: 0.8696 0.8696 0.8696
Ho: 0.5000 0.5000 0.5000
Mg: 0.3792 0.3792 0.3792
Mg: 0.6208 0.6208 0.6208

Calculated values
- Calculated volume: 247.0 Å³/f.u.
- N(E_F): 1.348 states/eV per atom
- Spin magnetization: 0.00 Bohr magnetons per cell
- Calculated formation energy: 0.256 eV/atom

---

Record 10
A plane-wave DFT calculation with GGA-PBE was carried out for an optimized crystal structure of InCuAs2.

Lattice parameters (Å, degrees): 4.6676 4.6676 3.7524 90.00 90.00 106.86
Fractional coordinates of all 4 atoms:
In: 0.0000 0.0000 0.0000
Cu: 0.5000 0.5000 0.0000
As: 0.0000 0.5000 0.5000
As: 0.5000 0.0000 0.5000

Calculated values
- Calculated volume: 78.2 Å³/f.u.
- N(E_F): 0.487 states/eV per atom
- Spin magnetization: 0.00 Bohr magnetons per cell
- Calculated formation energy: 0.299 eV/atom

---

Record 11
A plane-wave DFT calculation with GGA-PBE was carried out for an optimized crystal structure of Sr6Sb2TeP.

Lattice parameters (Å, degrees): 7.8166 8.7459 13.7154 90.00 124.10 90.00
Fractional coordinates of all 20 atoms:
Sr: 0.0891 0.0605 0.2378
Sr: 0.0891 0.4395 0.7378
Sr: 0.2370 0.7010 0.0729
Sr: 0.2370 0.7990 0.5729
Sr: 0.3793 0.1737 0.0686
Sr: 0.3793 0.3263 0.5686
Sr: 0.6207 0.6737 0.4314
Sr: 0.6207 0.8263 0.9314
Sr: 0.7630 0.2010 0.4271
Sr: 0.7630 0.2990 0.9271
Sr: 0.9109 0.5605 0.2622
Sr: 0.9109 0.9395 0.7622
Sb: 0.2901 0.0967 0.7493
Sb: 0.2901 0.4033 0.2493
Sb: 0.7099 0.5967 0.7507
Sb: 0.7099 0.9033 0.2507
Te: 0.5000 0.0000 0.5000
Te: 0.5000 0.5000 0.0000
P: 0.0000 0.0000 0.0000
P: 0.0000 0.5000 0.5000

Calculated values
- ΔE_f (raw): -1.0856 eV per atom
- Calculated volume: 388.2 Å³/f.u.
- N(E_F): 0.314 states/eV per atom
- Spin magnetization: 2.02 Bohr magnetons per cell

---

Record 12
A plane-wave DFT calculation with GGA-PBE was carried out for an optimized crystal structure of Rb4Sm3RhO8.

Lattice parameters (Å, degrees): 7.6935 7.6935 7.6935 54.31 54.31 54.31
Fractional coordinates of all 16 atoms:
Rb: 0.0000 0.0000 0.0000
Rb: 0.0000 0.5000 0.5000
Rb: 0.5000 0.0000 0.5000
Rb: 0.5000 0.5000 0.0000
Sm: 0.0000 0.0000 0.5000
Sm: 0.0000 0.5000 0.0000
Sm: 0.5000 0.0000 0.0000
Rh: 0.5000 0.5000 0.5000
O: 0.2269 0.2269 0.2269
O: 0.2419 0.7181 0.7181
O: 0.2819 0.2819 0.7581
O: 0.2819 0.7581 0.2819
O: 0.7181 0.2419 0.7181
O: 0.7181 0.7181 0.2419
O: 0.7581 0.2819 0.2819
O: 0.7731 0.7731 0.7731

Calculated values
- ΔE_f (raw): -2.1131 eV per atom
- Calculated volume: 279.2 Å³/f.u.
- Spin magnetization: 0.00 Bohr magnetons per cell